The following is a DFT calculation (GGA-PBEsol) of a relaxed Ag2RuAu crystal.

Calculated values
- ρ: 13348 kg/m3
- Volume: 16.0 Å³ per atom
- Formation energy: 482 meV/atom
- Total DFT energy (no corrections): -18.8 eV for the cell shown

Cell and atoms, written as POSCAR:
```
Ag2RuAu
1.0
-0.280 0.453 2.670
-1.969 -4.394 0.539
4.399 -1.875 0.779
Ag Au Ru
2 1 1
direct
0.000 0.000 0.500 Ag
0.000 0.500 0.000 Ag
0.500 0.500 0.500 Au
0.500 0.000 0.000 Ru
```